A plane-wave DFT calculation with PBE was carried out for a relaxed structure of MnInSe2.

Output
crystal system: cubic
space group: F-43m (216)
formation energy from raw total energies: 0.3251 eV per atom
calculated volume: 85.8 Å³/cell
total magnetization: 1.10 μB/atom

abc: 4.952 4.952 4.952
angles: 60.00 60.00 60.00
Each line ends with the local moment (μB).
Positions (direct):
In1 0.500 0.500 0.500  -0.01
Mn1 0.750 0.750 0.750  4.10
Se1 0.000 0.000 0.000  -0.02
Se2 0.250 0.250 0.250  0.00